Below is a relaxed TaAl2Re2 crystal, with properties calculated at the PBE level.

## Properties
The calculation puts the total energy at -0.6415 Ry/atom. As for the crystal system: tetragonal. Its total moment is 0.00 Bohr magnetons per cell.

Cell: 3.449 3.449 13.633 Å, 90.00 90.00 90.00°
Space group I4/mmm (No. 139)
Unique sites:
Ta (0.000, 0.000, 0.000) (multiplicity 2)
Al (0.000, 0.500, 0.250) (multiplicity 4)
Re (0.000, 0.000, 0.397) (multiplicity 4)